This record from Alexandria via LeMat-Bulk describes crystalline RbP3Se at its relaxed geometry. The functional is PBE-GGA.

Uncorrected formation energy, eV/f.u.: 3.7
Energy relative to the lowest polymorph listed for this composition, eV per atom: 0.000
V, A^3/atom: 25.48

abc: 5.0319 5.0319 5.0319
angles: 90.00 90.00 90.00
Element x y z (fractional)
1 Rb 0.0000 0.0000 0.0000
2 P 0.0000 0.5000 0.5000
3 P 0.5000 0.0000 0.5000
4 P 0.5000 0.5000 0.0000
5 Se 0.5000 0.5000 0.5000